--- A ---
VASP calculation (PBE) on a relaxed KLiSN2 crystal.

Calculated values
- crystal system = tetragonal
- Fermi-level density of states (states/eV/cell) = 3.63
- total moment (μB per formula unit) = 6.0

Unit cell a=5.0614 b=5.0614 c=6.0050 alpha=90.00 beta=90.00 gamma=90.00
With the nearest neighbours (Å) after each atom.
Space group P4/mmm (No. 123)
Inequivalent atoms, fractional coordinates:
K (0.0000, 0.0000, 0.0000) (multiplicity 1)  4 N 2.53
Li (0.5000, 0.5000, 0.5000) (multiplicity 1)  4 S 3.58, 8 N 3.93
S (0.0000, 0.0000, 0.5000) (multiplicity 1)  2 K 3.00
N (0.0000, 0.5000, 0.0000) (multiplicity 2)  2 K 2.53

--- B ---
VASP calculation (PBE) on a relaxed KLiSN2 crystal.

Calculated values
- crystal system = tetragonal
- Fermi-level density of states (states/eV/cell) = 2.08
- total moment (μB per formula unit) = 6.0

Unit cell a=4.5773 b=4.5773 c=4.7259 alpha=90.00 beta=90.00 gamma=90.00
With the nearest neighbours (Å) after each atom.
Space group P4/mmm (No. 123)
Inequivalent atoms, fractional coordinates:
K (0.0000, 0.0000, 0.0000) (multiplicity 1)  4 S 3.24, 8 N 3.29
Li (0.5000, 0.5000, 0.5000) (multiplicity 1)  4 N 2.29, 2 S 2.36
S (0.5000, 0.5000, 0.0000) (multiplicity 1)  2 Li 2.36
N (0.0000, 0.5000, 0.5000) (multiplicity 2)  2 Li 2.29

B ends up most stable, edging out the next structure by 54.0 kJ/mol of atoms.